The following is a PBE+U calculation of crystalline Mg14MnZnO16 at its relaxed geometry, from Alexandria via LeMat-Bulk. Values from VASP.

Results
The value obtained for the electronic total energy is -5.997 eV per atom. Its space group is P4/mmm.

Structure (Quantum ESPRESSO input):
```
&SYSTEM
  ibrav = 0, nat = 32, ntyp = 4
/
ATOMIC_SPECIES
O 16.00 O.upf
Mg 24.30 Mg.upf
Mn 54.94 Mn.upf
Zn 65.41 Zn.upf
CELL_PARAMETERS angstrom
8.5598 0.0000 0.0000
0.0000 8.5598 0.0000
0.0000 0.0000 4.2805
ATOMIC_POSITIONS crystal
O 0.7499 0.2501 0.5000
Mg 0.2522 0.0000 0.5000
O 0.0000 0.2571 0.0000
Mg 0.5000 0.0000 0.0000
Mg 0.5000 0.2502 0.5000
Mg 0.2502 0.5000 0.5000
O 0.2501 0.2501 0.5000
Mn 0.0000 0.0000 0.0000
Mg 0.2511 0.2511 0.0000
O 0.0000 0.5000 0.5000
O 0.2571 0.0000 0.0000
O 0.0000 0.0000 0.5000
O 0.7525 0.5000 0.0000
Mg 0.0000 0.5000 0.0000
Mg 0.7489 0.2511 0.0000
Mg 0.7478 0.0000 0.5000
O 0.5000 0.0000 0.5000
O 0.5000 0.2475 0.0000
Zn 0.5000 0.5000 0.0000
O 0.7429 0.0000 0.0000
O 0.5000 0.5000 0.5000
Mg 0.0000 0.7478 0.5000
Mg 0.2511 0.7489 0.0000
O 0.5000 0.7525 0.0000
O 0.2501 0.7499 0.5000
Mg 0.7498 0.5000 0.5000
Mg 0.5000 0.7498 0.5000
O 0.0000 0.7429 0.0000
Mg 0.0000 0.2522 0.5000
O 0.2475 0.5000 0.0000
O 0.7499 0.7499 0.5000
Mg 0.7489 0.7489 0.0000
```